! CaCrF3 (PBE+U, relaxed); values from VASP
&SYSTEM
  ibrav = 0, nat = 5, ntyp = 3
/
ATOMIC_SPECIES
Cr 52.00 Cr.upf
Ca 40.08 Ca.upf
F 19.00 F.upf
ATOMIC_POSITIONS angstrom
Cr -1.807 -3.268 0.833
Ca 0.000 0.000 0.000
F 0.962 -1.822 0.796
F -1.630 -0.216 1.475
F -1.139 -1.230 -1.439
CELL_PARAMETERS angstrom
-2.279 -2.459 -2.877
1.924 -3.645 1.592
-3.260 -0.432 2.951
! - Electronic total energy: -5.660 eV per atom
! - V: 17.25 A^3/atom